12
Lattice="-1.781 2.953 0.564 0.395 -0.950 6.225 15.076 8.182 4.782" Properties=species:S:1:pos:R:3 comment="GGA-PBE La2Ho3Tm7, relaxed" rho_g_cm3=8.54 dft_energy_ev_per_atom=-4.48 m_tot_mub_per_atom=0.000 pbc="T T T"
La 4.264 3.557 5.673
La 9.426 6.628 5.897
Ho -0.693 1.001 3.394
Ho 5.217 2.703 2.329
Ho 10.254 4.529 8.677
Tm 6.756 5.344 4.186
Tm 6.934 4.841 7.384
Tm 2.650 0.784 4.267
Tm 0.000 0.000 0.000
Tm 12.822 6.448 6.740
Tm 12.070 7.421 10.101
Tm 1.620 2.764 1.470



12
Lattice="-6.675 0.880 1.851 -2.159 -1.986 -5.932 -0.277 -7.937 2.752" Properties=species:S:1:pos:R:3 comment="GGA-PBE NaVSn2Br8, relaxed" e_form_raw_ev_per_atom=-0.881 rho_g_cm3=4.07 dft_energy_ev_per_atom=-3.53 m_tot_mub_per_atom=0.167 pbc="T T T"
Na -0.139 -3.968 1.376
V 0.000 0.000 0.000
Sn -4.630 -6.577 0.049
Sn -4.481 -2.466 -1.378
Br -2.677 -3.164 -3.694
Br -6.650 -8.899 -0.671
Br -6.276 -1.458 0.835
Br -6.434 -5.879 2.365
Br -2.461 -0.145 -0.658
Br -2.836 -7.585 -2.163
Br -6.057 -4.839 -1.729
Br -3.054 -4.204 0.400



4
Lattice="-4.512 3.549 -0.457 -2.093 1.328 -5.198 1.513 -4.695 2.972" Properties=species:S:1:pos:R:3 comment="GGA-PBE BaTaCu2, relaxed" rho_g_cm3=8.92 dft_energy_ev_per_atom=-4.51 m_tot_mub_per_atom=0.000 pbc="T T T"
Ba -3.150 0.646 -0.157
Cu 0.000 0.000 0.000
Cu -1.941 -0.464 -2.527
Ta -3.302 2.438 -2.828